Here is Pm2TlGe3Pd4 after structural relaxation from Alexandria via LeMat-Bulk. Energies are from GGA-PBE.

Cell and atoms, written as extended XYZ:
```
10
Lattice="4.343 0.000 0.000 0.000 4.343 0.000 0.000 0.000 10.720" Properties=species:S:1:pos:R:3 pbc="T T T"
Pm 0.000 2.171 2.550
Pm 2.171 0.000 8.170
Tl 0.000 0.000 5.360
Ge 0.000 2.171 9.420
Ge 2.171 0.000 1.300
Ge 2.171 2.171 5.360
Pd 0.000 0.000 0.000
Pd 0.000 2.171 6.998
Pd 2.171 0.000 3.722
Pd 2.171 2.171 0.000
```

Computed properties:
- size of the total moment (μB per atom) = 0.000
- SG = P-4m2 (115)
- E (eV/atom) = -5.35

Here is Li6SnHg2 after structural relaxation from Alexandria via LeMat-Bulk. Energies are from GGA-PBE.

Cell and atoms, written as extended XYZ:
```
9
Lattice="7.935 0.000 0.000 -3.968 6.872 0.000 0.000 0.000 2.952" Properties=species:S:1:pos:R:3 pbc="T T T"
Li -1.322 2.290 0.000
Li -2.646 4.583 0.000
Li 2.644 0.000 0.000
Li 1.322 2.290 0.000
Li 5.292 0.000 0.000
Li 2.646 4.583 0.000
Sn 0.000 0.000 1.476
Hg 0.000 4.581 1.476
Hg 3.968 2.291 1.476
```

Computed properties:
- size of the total moment (μB per atom) = 0.000
- SG = P6/mmm (191)
- polymorph energy (0 for the lowest one) (meV/atom) = 0

Here is PdSI3 after structural relaxation from Alexandria via LeMat-Bulk. Energies are from GGA-PBE.

Cell and atoms, written as extended XYZ:
```
5
Lattice="5.494 0.000 0.000 0.000 5.494 0.000 0.000 0.000 5.494" Properties=species:S:1:pos:R:3 pbc="T T T"
Pd 0.000 0.000 0.000
S 2.747 2.747 2.747
I 0.000 2.747 2.747
I 2.747 0.000 2.747
I 2.747 2.747 0.000
```

Computed properties:
- size of the total moment (μB per atom) = 0.000
- SG = Pm-3m (221)
- polymorph energy (0 for the lowest one) (meV/atom) = 153
- uncorrected formation energy (eV per atom) = 0.668

Number 1: D(E_F) 4.9 states/eV/cell. Number 2: D(E_F) 2.0 states/eV/cell. Number 3: D(E_F) 11.6 states/eV/cell.